# 1
Compound: SrZrCl2
Source: Alexandria via LeMat-Bulk
Functional: meta-GGA SCAN
Structure: single point on PBEsol structure

Computed properties:
Symmetry: R-3m
E_form (uncorrected) (eV per atom): -1.16

abc: 3.528 3.528 9.410
angles: 79.19 79.19 60.00
Fractional coordinates of all 4 atoms:
Sr (0.500, 0.500, 0.500)
Cl (0.092, 0.092, 0.723)
Zr (0.000, 0.000, 0.000)
Cl (0.908, 0.908, 0.277)

---

# 2
Compound: KTcS2Cl
Source: Alexandria via LeMat-Bulk
Functional: meta-GGA SCAN
Structure: single point on PBEsol structure

Computed properties:
Symmetry: P4/mmm
E_form (uncorrected) (eV per atom): 1.15

abc: 5.099 5.099 5.277
angles: 90.00 90.00 90.00
Fractional coordinates of all 5 atoms:
S (0.500, 0.000, 0.000)
Tc (0.500, 0.500, 0.500)
Cl (0.000, 0.000, 0.500)
S (0.000, 0.500, 0.000)
K (0.000, 0.000, 0.000)

---

# 3
Compound: ScZnMo
Source: Alexandria via LeMat-Bulk
Functional: meta-GGA SCAN
Structure: single point on PBEsol structure

Computed properties:
Energy relative to the elements (eV per atom): 0.018
Symmetry: I4mm

abc: 2.764 2.764 6.697
angles: 101.91 101.91 90.00
Fractional coordinates of all 3 atoms:
Mo (0.992, 0.992, 0.985)
Sc (0.669, 0.669, 0.337)
Zn (0.339, 0.339, 0.678)

---

# 4
Compound: Fe3BrF
Source: Alexandria via LeMat-Bulk
Functional: meta-GGA SCAN
Structure: single point on PBEsol structure

Computed properties:
Symmetry: Pm-3m
E_form (uncorrected) (eV per atom): 0.36

abc: 4.135 4.135 4.135
angles: 90.00 90.00 90.00
Fractional coordinates of all 5 atoms:
Fe (0.000, 0.500, 0.000)
Fe (0.500, 0.000, 0.000)
Br (0.500, 0.500, 0.500)
F (0.000, 0.000, 0.000)
Fe (0.000, 0.000, 0.500)

---

# 5
Compound: FeCoAg2
Source: Alexandria via LeMat-Bulk
Functional: meta-GGA SCAN
Structure: single point on PBEsol structure

Computed properties:
Energy relative to the elements (eV per atom): 0.358
Symmetry: C2/m

abc: 2.685 4.605 4.750
angles: 99.82 106.42 90.00
Fractional coordinates of all 4 atoms:
Co (0.500, 0.000, 0.000)
Ag (0.248, 0.249, 0.496)
Ag (0.752, 0.751, 0.504)
Fe (0.000, 0.500, 0.000)

---

# 6
Compound: Hf3HgF
Source: Alexandria via LeMat-Bulk
Functional: meta-GGA SCAN
Structure: single point on PBEsol structure

Computed properties:
Symmetry: Pm-3m
E_form (uncorrected) (eV per atom): 1.06

abc: 5.183 5.183 5.183
angles: 90.00 90.00 90.00
Fractional coordinates of all 5 atoms:
Hf (0.000, 0.000, 0.500)
F (0.500, 0.500, 0.500)
Hf (0.500, 0.000, 0.000)
Hg (0.000, 0.000, 0.000)
Hf (0.000, 0.500, 0.000)

---

# 7
Compound: Hf2Ga2Au
Source: Alexandria via LeMat-Bulk
Functional: meta-GGA SCAN
Structure: single point on PBEsol structure

Computed properties:
Energy relative to the elements (eV per atom): -0.662
Symmetry: P4/mbm

abc: 4.120 6.515 6.515
angles: 90.00 90.00 90.00
Fractional coordinates of all 10 atoms:
Hf (0.500, 0.667, 0.833)
Au (0.000, 0.500, 0.500)
Ga (0.000, 0.866, 0.634)
Au (0.000, 0.000, 0.000)
Hf (0.500, 0.333, 0.167)
Hf (0.500, 0.833, 0.333)
Hf (0.500, 0.167, 0.667)
Ga (0.000, 0.134, 0.366)
Ga (0.000, 0.634, 0.134)
Ga (0.000, 0.366, 0.866)

---

# 8
Compound: CrIrC2
Source: Alexandria via LeMat-Bulk
Functional: meta-GGA SCAN
Structure: single point on PBEsol structure

Computed properties:
Energy relative to the elements (eV per atom): 1.209
Symmetry: Fm-3m

abc: 3.667 3.667 3.667
angles: 60.00 60.00 60.00
Fractional coordinates of all 4 atoms:
C (0.250, 0.250, 0.250)
C (0.750, 0.750, 0.750)
Ir (0.500, 0.500, 0.500)
Cr (0.000, 0.000, 0.000)